Gd6Th | GGA-PBE | relaxed

The structure in extended XYZ format:
```
7
Lattice="-3.950 3.950 3.950 3.950 -3.950 3.950 3.950 3.950 -3.950" Properties=species:S:1:pos:R:3 pbc="T T T"
Gd 3.950 1.975 0.000
Gd 3.950 0.000 1.975
Gd 1.975 3.950 0.000
Gd 1.975 0.000 3.950
Gd 0.000 3.950 1.975
Gd 0.000 1.975 3.950
Th 0.000 0.000 0.000
```

Output
SG   No. 229
ΔH_f (0 K)   1.346 eV/atom
Magnetization   6.13 μB per atom